# 1
A plane-wave DFT calculation with PBE was carried out for a relaxed PuS3O12 crystal.

SG: No. 161
Formation energy (no corrections) (eV/atom): -1.428
Total moment (μB/atom): 0.125
Raw total energy (eV/atom): -6.82

Unit cell a=9.313 b=9.313 c=9.313 alpha=52.73 beta=52.73 gamma=52.73
Sites, in units of the cell vectors:
Pu 0.000 0.000 0.000
Pu 0.500 0.500 0.500
S 0.133 0.791 0.406
S 0.291 0.633 0.906
S 0.406 0.133 0.791
S 0.633 0.906 0.291
S 0.791 0.406 0.133
S 0.906 0.291 0.633
O 0.015 0.071 0.704
O 0.017 0.395 0.445
O 0.071 0.704 0.015
O 0.141 0.832 0.218
O 0.204 0.571 0.515
O 0.218 0.141 0.832
O 0.297 0.833 0.351
O 0.332 0.641 0.718
O 0.333 0.797 0.851
O 0.351 0.297 0.833
O 0.395 0.445 0.017
O 0.445 0.017 0.395
O 0.515 0.204 0.571
O 0.517 0.945 0.895
O 0.571 0.515 0.204
O 0.641 0.718 0.332
O 0.704 0.015 0.071
O 0.718 0.332 0.641
O 0.797 0.851 0.333
O 0.832 0.218 0.141
O 0.833 0.351 0.297
O 0.851 0.333 0.797
O 0.895 0.517 0.945
O 0.945 0.895 0.517

=====

# 2
A plane-wave DFT calculation with PBE was carried out for a relaxed Pu3S3O2 crystal.

SG: No. 71
Formation energy (no corrections) (eV/atom): -2.122
Total moment (μB/atom): 0.544
Raw total energy (eV/atom): -10.28

Unit cell a=10.581 b=10.581 c=10.581 alpha=160.11 beta=158.32 gamma=29.58
Sites, in units of the cell vectors:
Pu 0.000 0.000 0.000
Pu 0.312 0.812 0.500
Pu 0.688 0.188 0.500
S 0.120 0.620 0.500
S 0.500 0.500 0.000
S 0.880 0.380 0.500
O 0.248 0.248 0.000
O 0.752 0.752 0.000

=====

# 3
A plane-wave DFT calculation with PBE was carried out for a relaxed Pu4S3O crystal.

SG: No. 221
Formation energy (no corrections) (eV/atom): -1.796
Total moment (μB/atom): 2.770
Raw total energy (eV/atom): -11.13

Unit cell a=5.472 b=5.472 c=5.472 alpha=90.00 beta=90.00 gamma=90.00
Sites, in units of the cell vectors:
Pu 0.000 0.000 0.000
Pu 0.000 0.500 0.500
Pu 0.500 0.000 0.500
Pu 0.500 0.500 0.000
S 0.000 0.000 0.500
S 0.000 0.500 0.000
S 0.500 0.000 0.000
O 0.500 0.500 0.500

=====

# 4
A plane-wave DFT calculation with PBE was carried out for a relaxed Pu4S5O crystal.

SG: No. 71
Formation energy (no corrections) (eV/atom): -1.768
Total moment (μB/atom): 2.000
Raw total energy (eV/atom): -10.06

Unit cell a=9.321 b=9.321 c=9.321 alpha=156.58 beta=135.25 gamma=51.11
Sites, in units of the cell vectors:
Pu 0.211 0.211 0.000
Pu 0.223 0.500 0.723
Pu 0.777 0.500 0.277
Pu 0.789 0.789 0.000
S 0.091 0.338 0.753
S 0.415 0.662 0.753
S 0.500 0.000 0.500
S 0.585 0.338 0.247
S 0.909 0.662 0.247
O 0.000 0.000 0.000